(1)
# EuDy2Tl PBE relaxed
# - Mass density: 9.5 g cm⁻³
# - Formation energy: -0.1 eV/f.u.
data_EuDy2Tl
_cell_length_a 7.807
_cell_length_b 7.807
_cell_length_c 7.807
_cell_angle_alpha 90.00
_cell_angle_beta 90.00
_cell_angle_gamma 90.00
_space_group_name_H-M_alt 'F m -3 m'
_space_group_IT_number 225
_space_group_name_Hall '-F 4 2 3'
loop_
_atom_site_label
_atom_site_type_symbol
_atom_site_fract_x
_atom_site_fract_y
_atom_site_fract_z
Eu1 Eu 0.000 0.000 0.000
Dy1 Dy 0.250 0.250 0.250
Tl1 Tl 0.000 0.000 0.500

(2)
# Sr2Cd2As PBE relaxed
# - Mass density: 4.6 g cm⁻³
# - Formation energy: -0.8 eV/f.u.
data_Sr2Cd2As
_cell_length_a 6.421
_cell_length_b 6.421
_cell_length_c 8.246
_cell_angle_alpha 90.00
_cell_angle_beta 90.00
_cell_angle_gamma 90.00
_space_group_name_H-M_alt 'I 4/m m m'
_space_group_IT_number 139
_space_group_name_Hall '-I 4 2'
loop_
_atom_site_label
_atom_site_type_symbol
_atom_site_fract_x
_atom_site_fract_y
_atom_site_fract_z
Sr1 Sr 0.000 0.500 0.250
Cd1 Cd 0.000 0.000 0.163
As1 As 0.000 0.000 0.500

(3)
# Zr2TiBiH PBE relaxed
# - E: -33.64 eV per formula unit
# - Mass density: 8.4 g cm⁻³
data_Zr2TiBiH
_cell_length_a 4.460
_cell_length_b 4.460
_cell_length_c 4.397
_cell_angle_alpha 90.00
_cell_angle_beta 90.00
_cell_angle_gamma 90.00
_space_group_name_H-M_alt 'P 4/m m m'
_space_group_IT_number 123
_space_group_name_Hall '-P 4 2'
loop_
_atom_site_label
_atom_site_type_symbol
_atom_site_fract_x
_atom_site_fract_y
_atom_site_fract_z
Zr1 Zr 0.000 0.500 0.000
Ti1 Ti 0.000 0.000 0.500
Bi1 Bi 0.500 0.500 0.500
H1 H 0.000 0.000 0.000

| no. | calculated volume (Å³/cell) | N(E_F) (states/eV per atom) |
| --- | --- | --- |
| 1 | 476 | 1.486 |
| 2 | 340 | 0.820 |
| 3 | 87 | 0.984 |